## KHg2Sb (GGA-PBE)

Data for KHg2Sb after structural relaxation.

```
KHg2Sb
1.0
3.486 0.065 0.000
-0.075 3.486 0.000
0.000 0.000 9.759
K Sb Hg
1 1 2
direct
0.000 0.000 0.492
0.500 0.500 0.770
0.000 0.000 0.007
0.500 0.500 0.231
```

Output
**E_form (uncorrected)**: -78 meV/atom
**Magnetic moment**: 0.00 μB/atom


## KHgSb2 (GGA-PBE)

Data for KHgSb2 after structural relaxation.

```
KHgSb2
1.0
3.311 0.000 0.000
0.000 6.123 -0.039
0.000 3.993 5.757
Sb Hg K
2 1 1
direct
0.000 0.000 0.000
0.500 0.500 0.000
0.500 0.500 0.500
0.000 0.000 0.500
```

Output
**E_form (uncorrected)**: -5 meV/atom
**Magnetic moment**: 0.00 μB/atom


## KHgSb2 (GGA-PBE)

Data for KHgSb2 after structural relaxation.

```
KHgSb2
1.0
-1.965 -2.412 0.695
4.517 -2.902 2.696
-1.606 3.021 5.941
Sb K Hg
2 1 1
direct
0.000 0.000 0.961
0.000 0.000 0.539
0.500 0.500 0.750
0.500 0.500 0.250
```

Output
**E_form (uncorrected)**: -69 meV/atom
**Magnetic moment**: 0.00 μB/atom


## K3HgSb (GGA-PBE)

Data for K3HgSb after structural relaxation.

```
K3HgSb
1.0
9.109 0.000 0.000
0.000 8.061 -0.936
0.000 0.743 11.471
Sb K Hg
4 12 4
direct
0.280 0.397 0.131
0.780 0.603 0.369
0.720 0.603 0.869
0.220 0.397 0.631
0.468 0.240 0.837
0.180 0.666 0.390
0.978 0.710 0.106
0.532 0.760 0.163
0.820 0.334 0.610
0.032 0.240 0.337
0.522 0.710 0.606
0.478 0.290 0.394
0.968 0.760 0.663
0.320 0.666 0.890
0.022 0.290 0.894
0.680 0.334 0.110
0.754 0.955 0.426
0.746 0.955 0.926
0.246 0.045 0.574
0.254 0.045 0.074
```

Output
**Polymorph energy (0 for the lowest one)**: 0.000 eV/atom
**E_form (uncorrected)**: -363 meV/atom
**Magnetic moment**: 0.00 μB/atom


## KHgSb2 (GGA-PBE)

Data for KHgSb2 after structural relaxation.

```
KHgSb2
1.0
5.028 0.000 0.000
0.000 3.380 0.080
0.000 1.533 7.533
Sb K Hg
2 1 1
direct
0.500 0.065 0.243
0.000 0.171 0.033
0.500 0.815 0.747
0.000 0.449 0.477
```

Output
**E_form (uncorrected)**: -136 meV/atom
**Magnetic moment**: 0.00 μB/atom


## KHgSb (GGA-PBE)

Data for KHgSb after structural relaxation.

```
KHgSb
1.0
-0.389 0.954 3.267
5.262 -3.436 1.630
2.388 8.705 -2.259
Hg K Sb
2 2 2
direct
0.861 0.855 0.946
0.861 0.158 0.549
0.361 0.672 0.580
0.361 0.340 0.915
0.861 0.283 0.247
0.861 0.729 0.248
```

Output
**E_form (uncorrected)**: -231 meV/atom
**Magnetic moment**: 0.00 μB/atom


## KHgSb (GGA-PBE)

Data for KHgSb after structural relaxation.

```
KHgSb
1.0
-4.385 6.619 1.207
-6.484 4.677 -0.746
-1.843 -0.827 2.812
K Hg Sb
1 1 1
direct
0.339 0.339 0.661
0.002 0.002 0.998
0.659 0.659 0.341
```

Output
**E_form (uncorrected)**: -158 meV/atom
**Magnetic moment**: 0.00 μB/atom


## K3Hg3Sb (GGA-PBE)

Data for K3Hg3Sb after structural relaxation.

```
K3Hg3Sb
1.0
4.895 0.000 0.737
2.448 6.366 0.363
-0.097 -0.585 17.265
Sb K Hg
2 6 6
direct
0.728 0.179 0.366
0.272 0.821 0.634
0.602 0.720 0.077
0.587 0.236 0.590
0.398 0.280 0.923
0.413 0.764 0.410
0.225 0.325 0.225
0.775 0.675 0.775
0.889 0.659 0.563
0.946 0.886 0.222
0.111 0.341 0.437
0.054 0.114 0.778
0.110 0.853 0.926
0.890 0.147 0.074
```

Output
**E_form (uncorrected)**: -309 meV/atom
**Magnetic moment**: 0.00 μB/atom


## KHgSb (GGA-PBE)

Data for KHgSb after structural relaxation.

```
KHgSb
1.0
6.070 -0.372 0.097
2.834 5.380 -0.097
-3.633 -3.961 2.847
Sb Hg K
1 1 1
direct
0.679 0.679 0.000
0.991 0.991 0.000
0.330 0.330 0.000
```

Output
**E_form (uncorrected)**: -114 meV/atom
**Magnetic moment**: 0.00 μB/atom


## KHg4Sb (GGA-PBE)

Data for KHg4Sb after structural relaxation.

```
KHg4Sb
1.0
4.417 -4.391 -0.617
-0.838 -4.742 -3.998
3.397 -0.306 -5.248
Hg K Sb
4 1 1
direct
0.375 0.876 0.375
0.375 0.375 0.876
0.876 0.375 0.375
0.375 0.375 0.375
0.750 0.750 0.750
0.000 0.000 0.000
```

Output
**Polymorph energy (0 for the lowest one)**: 0.111 eV/atom
**E_form (uncorrected)**: -18 meV/atom
**Magnetic moment**: 0.00 μB/atom


## K6Hg23Sb (GGA-PBE)

Data for K6Hg23Sb after structural relaxation.

```
K6Hg23Sb
1.0
9.479 0.000 5.472
3.160 8.937 5.472
0.000 0.000 10.945
Hg K Sb
23 6 1
direct
0.018 0.661 0.661
0.339 0.339 0.982
0.122 0.634 0.122
0.661 0.661 0.661
0.339 0.982 0.339
0.122 0.122 0.122
0.982 0.339 0.339
0.878 0.878 0.366
0.122 0.122 0.634
0.634 0.122 0.122
0.000 0.000 0.500
0.500 0.000 0.500
0.661 0.661 0.018
0.878 0.366 0.878
0.366 0.878 0.878
0.661 0.018 0.661
0.878 0.878 0.878
0.000 0.500 0.500
0.339 0.339 0.339
0.500 0.000 0.000
0.500 0.500 0.000
0.000 0.000 0.000
0.000 0.500 0.000
0.722 0.278 0.722
0.722 0.722 0.278
0.278 0.722 0.722
0.722 0.278 0.278
0.278 0.278 0.722
0.278 0.722 0.278
0.500 0.500 0.500
```

Output
**E_form (uncorrected)**: -177 meV/atom
**Magnetic moment**: 0.00 μB/atom


## K2Hg3Sb2 (GGA-PBE)

Data for K2Hg3Sb2 after structural relaxation.

```
K2Hg3Sb2
1.0
5.715 0.001 0.017
2.860 6.124 1.007
0.018 -0.586 6.730
K Hg Sb
2 3 2
direct
0.388 0.223 0.696
0.612 0.777 0.304
0.735 0.526 0.813
0.000 0.000 0.000
0.265 0.474 0.187
0.093 0.813 0.644
0.907 0.187 0.356
```

Output
**E_form (uncorrected)**: -255 meV/atom
**Magnetic moment**: 0.00 μB/atom


## KHg2Sb (GGA-PBE)

Data for KHg2Sb after structural relaxation.

```
KHg2Sb
1.0
-3.247 1.809 0.077
-2.816 -4.966 -2.048
-0.798 -1.648 5.091
Hg Sb K
2 1 1
direct
0.500 0.500 0.000
0.000 0.000 0.000
0.000 0.500 0.500
0.500 0.000 0.500
```

Output
**E_form (uncorrected)**: -81 meV/atom
**Magnetic moment**: 0.00 μB/atom


One value per record, in order, for density: 7.9 6.8 6.1 3.4 6.3 6.2 6.5 5.2 6.4 9.2 8.9 6.4 7.6 g/cm³.
One value per record, in order, for DOS at the Fermi energy: 1.28 2.31 1.31 0.04 1.01 0.76 1.79 2.10 1.23 4.34 10.88 0.69 1.28 states/eV/f.u..